First-principles (PBE) data for a relaxed TcTeAu4 crystal, as listed in Alexandria.

Computed properties:
- formation energy (no corrections) (eV per atom) = 0.51

Lattice parameters (Å, degrees): 5.5734 5.5734 5.5734 60.00 60.00 60.00
Positions (direct):
Au 0.3754 0.3754 0.3754
Au 0.3754 0.8739 0.3754
Au 0.8739 0.3754 0.3754
Au 0.3754 0.3754 0.8739
Tc 0.7500 0.7500 0.7500
Te 0.0000 0.0000 0.0000

First-principles (PBE) data for a relaxed TcTe2Au crystal, as listed in Alexandria.

Computed properties:
- excess energy over the best structure of this formula in the dataset (meV per atom) = 517.0
- formation energy (no corrections) (eV per atom) = 0.58

Lattice parameters (Å, degrees): 5.0133 5.0038 4.9875 68.35 75.02 111.85
Positions (direct):
Au 0.0000 0.5000 0.5000
Te 0.0000 0.0000 0.0000
Te 0.5000 0.0000 0.5000
Tc 0.5000 0.5000 0.0000

First-principles (PBE) data for a relaxed Tc2TeAu crystal, as listed in Alexandria.

Computed properties:
- formation energy (no corrections) (eV per atom) = 0.38

Lattice parameters (Å, degrees): 10.1143 10.1143 10.1143 16.67 16.67 16.67
Positions (direct):
Tc 0.2589 0.2589 0.2589
Tc 0.9919 0.9919 0.9919
Au 0.7388 0.7388 0.7388
Te 0.5104 0.5104 0.5104

First-principles (PBE) data for a relaxed TcTe2Au crystal, as listed in Alexandria.

Computed properties:
- excess energy over the best structure of this formula in the dataset (meV per atom) = 222.2
- formation energy (no corrections) (eV per atom) = 0.28

Lattice parameters (Å, degrees): 7.0362 7.0362 7.0362 153.44 144.11 45.20
Positions (direct):
Tc 0.7743 0.2743 0.5000
Au 0.5676 0.5676 0.0000
Te 0.2204 0.7204 0.5000
Te 0.9378 0.9378 0.0000

no.,E (eV per atom)
1,-3.93
2,-4.41
3,-6.41
4,-4.70